Record 1
VASP calculation (GGA-PBEsol) on a relaxed structure of CdRh8.

Output
SG = No. 139
final energy = -7.2953 eV/atom
calculated formation energy = 72 meV/atom

Geometry as POSCAR:
```
CdRh8
1.0
-4.060 4.060 1.909
4.060 -4.060 1.909
4.060 4.060 -1.909
Cd Rh
1 8
Direct
0.000 0.000 0.000 Cd
0.000 0.338 0.338 Rh
0.000 0.662 0.662 Rh
0.326 0.326 0.652 Rh
0.326 0.674 0.000 Rh
0.338 0.000 0.338 Rh
0.662 0.000 0.662 Rh
0.674 0.326 0.000 Rh
0.674 0.674 0.348 Rh
```

Record 2
VASP calculation (GGA-PBEsol) on a relaxed structure of TiGa2TcBr.

Output
SG = No. 123
formation energy from raw total energies = 1.3334 eV/atom
final energy = -4.2943 eV/atom

Geometry as POSCAR:
```
TiGa2TcBr
1.0
4.866 0.000 0.000
0.000 4.866 0.000
0.000 0.000 4.514
Ti Ga Tc Br
1 2 1 1
Direct
0.000 0.000 0.000 Ti
0.000 0.500 0.500 Ga
0.500 0.000 0.500 Ga
0.500 0.500 0.000 Tc
0.000 0.000 0.500 Br
```

Record 3
VASP calculation (GGA-PBEsol) on a relaxed structure of TlSiC3.

Output
polymorph energy (0 for the lowest one) = 1.675 eV per atom
SG = No. 221
formation energy from raw total energies = 3.6979 eV/atom
final energy = -3.7637 eV/atom

Geometry as POSCAR:
```
TlSiC3
1.0
4.335 0.000 0.000
0.000 4.335 0.000
0.000 0.000 4.335
Tl Si C
1 1 3
Direct
0.000 0.000 0.000 Tl
0.500 0.500 0.500 Si
0.000 0.000 0.500 C
0.000 0.500 0.000 C
0.500 0.000 0.000 C
```

Record 4
VASP calculation (GGA-PBEsol) on a relaxed structure of YWSe2.

Output
polymorph energy (0 for the lowest one) = 0.000 eV per atom
SG = No. 8
formation energy from raw total energies = -0.5198 eV/atom
final energy = -7.6023 eV/atom

Geometry as POSCAR:
```
YWSe2
1.0
4.717 -1.660 0.000
4.717 1.660 0.000
-1.222 0.000 4.861
Y W Se
1 1 2
Direct
0.000 0.000 0.000 Y
0.758 0.758 0.415 W
0.254 0.254 0.817 Se
0.476 0.476 0.477 Se
```

Record 5
VASP calculation (GGA-PBEsol) on a relaxed structure of InGaTe2.

Output
SG = No. 140
formation energy from raw total energies = -0.2673 eV/atom
final energy = -3.6110 eV/atom

Geometry as POSCAR:
```
InGaTe2
1.0
-4.115 4.115 3.340
4.115 -4.115 3.340
4.115 4.115 -3.340
In Ga Te
2 2 4
Direct
0.250 0.250 0.000 In
0.750 0.750 0.000 In
0.250 0.750 0.500 Ga
0.750 0.250 0.500 Ga
0.178 0.678 0.855 Te
0.322 0.178 0.500 Te
0.678 0.822 0.500 Te
0.822 0.322 0.145 Te
```

Record 6
VASP calculation (GGA-PBEsol) on a relaxed structure of TiZnBi3.

Output
SG = No. 221
final energy = -3.7749 eV/atom
calculated formation energy = 777 meV/atom

Geometry as POSCAR:
```
TiZnBi3
1.0
5.262 0.000 0.000
0.000 5.262 0.000
0.000 0.000 5.262
Ti Zn Bi
1 1 3
Direct
0.000 0.000 0.000 Ti
0.500 0.500 0.500 Zn
0.000 0.500 0.500 Bi
0.500 0.000 0.500 Bi
0.500 0.500 0.000 Bi
```

Record 7
VASP calculation (GGA-PBEsol) on a relaxed structure of YTl2Ru.

Output
polymorph energy (0 for the lowest one) = 0.087 eV per atom
SG = No. 123
final energy = -5.4891 eV/atom
calculated formation energy = 75 meV/atom

Geometry as POSCAR:
```
YTl2Ru
1.0
3.382 0.000 0.000
0.000 3.382 0.000
0.000 0.000 7.293
Y Tl Ru
1 2 1
Direct
0.000 0.000 0.000 Y
0.500 0.500 0.288 Tl
0.500 0.500 0.712 Tl
0.000 0.000 0.500 Ru
```

Record 8
VASP calculation (GGA-PBEsol) on a relaxed structure of SbSe.

Output
SG = No. 166
formation energy from raw total energies = 0.0138 eV/atom
final energy = -4.1900 eV/atom

Geometry as POSCAR:
```
SbSe
1.0
2.507 1.448 4.941
-2.507 1.448 4.941
0.000 -2.895 4.941
Sb Se
2 2
Direct
0.220 0.220 0.220 Sb
0.780 0.780 0.780 Sb
0.401 0.401 0.401 Se
0.599 0.599 0.599 Se
```